SrLiCa2Au4 | PBE-GGA | optimized geometry

Geometry as extended XYZ:
```
8
Lattice="-1.160 0.090 4.915 -2.008 -4.081 2.196 7.024 -4.250 4.331" Properties=species:S:1:pos:R:3 pbc="T T T"
Sr 0.000 0.000 0.000
Li 1.928 -4.121 5.721
Ca 2.583 -6.069 8.507
Ca 1.274 -2.172 2.936
Au 4.493 -5.047 6.343
Au -0.166 -5.076 7.840
Au 4.023 -3.165 3.603
Au -0.636 -3.194 5.099
```

Calculated values
The raw total energy is -26.2 eV per cell. The total moment is 0.00 Bohr magnetons per cell. Its formation energy is -684 meV per atom.

---

LaDy2ThSc4 | PBE-GGA | optimized geometry

Geometry as extended XYZ:
```
8
Lattice="-1.620 4.486 1.662 -3.314 -2.319 3.030 2.802 -2.528 9.556" Properties=species:S:1:pos:R:3 pbc="T T T"
La -2.467 1.084 2.346
Dy 2.802 -2.528 9.556
Dy 0.591 0.979 5.609
Th -0.256 -2.423 6.293
Sc -0.417 -3.634 9.405
Sc -1.715 3.274 4.843
Sc -2.565 -0.130 5.526
Sc 0.433 -0.231 8.722
```

Calculated values
The raw total energy is -46.5 eV per cell. The total moment is 0.00 Bohr magnetons per cell. Its formation energy is 46 meV per atom.

---

SrCo2Sn2 | PBE-GGA | optimized geometry

Geometry as extended XYZ:
```
10
Lattice="7.842 0.000 0.000 0.000 7.842 0.000 0.000 0.000 3.123" Properties=species:S:1:pos:R:3 pbc="T T T"
Sr 0.000 0.000 0.000
Sr 3.921 3.921 0.000
Co 2.893 6.813 0.000
Co 6.813 4.949 0.000
Co 4.949 1.028 0.000
Co 1.028 2.893 0.000
Sn 1.193 5.114 1.561
Sn 5.114 6.648 1.561
Sn 6.648 2.728 1.561
Sn 2.728 1.193 1.561
```

Calculated values
The raw total energy is -47.4 eV per cell. The total moment is 2.11 Bohr magnetons per cell. Its formation energy is 41 meV per atom.

---

Nd2Se2N | PBE-GGA | optimized geometry

Geometry as extended XYZ:
```
10
Lattice="4.185 0.000 0.000 0.000 7.685 0.000 -2.093 0.000 7.620" Properties=species:S:1:pos:R:3 pbc="T T T"
Nd 0.000 3.163 6.755
Nd 2.093 0.253 5.302
Nd 0.000 4.096 2.318
Nd 2.093 7.006 0.864
Se 2.093 5.444 6.956
Se 2.093 3.052 4.453
Se 0.000 6.895 3.166
Se 0.000 1.602 0.664
N 0.000 0.647 6.299
N 2.093 4.489 1.321
```

Calculated values
The raw total energy is -63.8 eV per cell. The total moment is 1.87 Bohr magnetons per cell. The value obtained for the formation energy without anion corrections is -1.42 eV/atom.